Entry 1:
LuGaNi2: relaxed, GGA-PBEsol.

Lattice parameters (Å, degrees): 4.071 4.071 8.327 90.00 90.00 120.00
Positions (direct):
Ni  0.667  0.333  0.073
Ni  0.333  0.667  0.927
Ni  0.333  0.667  0.573
Ni  0.667  0.333  0.427
Lu  0.667  0.333  0.750
Lu  0.333  0.667  0.250
Ga  0.000  0.000  0.000
Ga  0.000  0.000  0.500

## Properties
spin magnetization: 0.000 μB per formula unit
volume: 14.94 Å³ per atom
DFT formation energy: -2.5 eV/f.u.

=====

Entry 2:
NaICl2: relaxed, GGA-PBEsol.

Lattice parameters (Å, degrees): 4.369 4.369 8.099 74.35 74.35 60.00
Positions (direct):
I  0.000  0.000  0.000
Na  0.500  0.500  0.500
Cl  0.889  0.889  0.332
Cl  0.111  0.111  0.668

## Properties
spin magnetization: 0.000 μB per formula unit
volume: 31.80 Å³ per atom
E_form (uncorrected): -0.95 eV/atom

=====

Entry 3:
KYTl2: relaxed, GGA-PBEsol.

Lattice parameters (Å, degrees): 5.486 5.486 5.486 60.00 60.00 60.00
Positions (direct):
K  0.500  0.500  0.500
Tl  0.000  0.000  0.000
Tl  0.750  0.750  0.750
Y  0.250  0.250  0.250

## Properties
relative energy among the computed polymorphs: 389 meV per atom
spin magnetization: 0.000 μB per formula unit
volume: 29.19 Å³ per atom
DFT formation energy: 0.6 eV/f.u.

=====

Entry 4:
InTcTeN2: relaxed, GGA-PBEsol.

Lattice parameters (Å, degrees): 3.932 3.932 5.529 90.00 90.00 90.00
Positions (direct):
N  0.000  0.500  0.000
N  0.500  0.000  0.000
Te  0.000  0.000  0.500
Tc  0.000  0.000  0.000
In  0.500  0.500  0.500

## Properties
spin magnetization: 0.000 μB per formula unit
volume: 17.10 Å³ per atom
E_form (uncorrected): 0.48 eV/atom

=====

Entry 5:
Rb2ScInF6: relaxed, GGA-PBEsol.

Lattice parameters (Å, degrees): 6.454 6.454 6.454 60.00 60.00 60.00
Positions (direct):
Rb  0.750  0.750  0.750
Rb  0.250  0.250  0.250
Sc  0.000  0.000  0.000
In  0.500  0.500  0.500
F  0.779  0.221  0.221
F  0.779  0.779  0.221
F  0.221  0.779  0.779
F  0.779  0.221  0.779
F  0.221  0.779  0.221
F  0.221  0.221  0.779

## Properties
spin magnetization: 0.000 μB per formula unit
volume: 19.01 Å³ per atom
E_form (uncorrected): -3.03 eV/atom

=====

Entry 6:
Ir3RuI: relaxed, GGA-PBEsol.

Lattice parameters (Å, degrees): 4.747 4.747 4.747 90.00 90.00 90.00
Each line ends with the local moment (μB).
Positions (direct):
I  0.000  0.000  0.000  -0.01
Ru  0.500  0.500  0.500  2.57
Ir  0.000  0.500  0.000  0.47
Ir  0.000  0.000  0.500  0.47
Ir  0.500  0.000  0.000  0.47

## Properties
spin magnetization: 4.124 μB per formula unit
volume: 21.39 Å³ per atom
E_form (uncorrected): 2.65 eV/atom

=====

Entry 7:
Y2BeCo: relaxed, GGA-PBEsol.

Lattice parameters (Å, degrees): 3.604 3.884 6.441 107.55 106.25 90.00
Positions (direct):
Y  0.000  0.000  0.999
Y  0.753  0.253  0.506
Be  0.577  0.577  0.153
Co  0.171  0.671  0.341

## Properties
spin magnetization: 0.001 μB per formula unit
volume: 20.55 Å³ per atom
DFT formation energy: 0.0 eV/f.u.

=====

Entry 8:
TbCd20Ni2: relaxed, GGA-PBEsol.

Lattice parameters (Å, degrees): 10.867 10.867 10.867 60.00 60.00 60.00
Positions (direct):
Tb  0.000  0.000  0.000
Tb  0.250  0.250  0.250
Cd  0.329  0.801  0.801
Cd  0.801  0.329  0.069
Cd  0.801  0.069  0.329
Cd  0.069  0.801  0.801
Cd  0.329  0.069  0.801
Cd  0.801  0.801  0.329
Cd  0.801  0.801  0.069
Cd  0.069  0.329  0.801
Cd  0.329  0.801  0.069
Cd  0.801  0.069  0.801
Cd  0.801  0.329  0.801
Cd  0.069  0.801  0.329
Cd  0.921  0.449  0.449
Cd  0.449  0.921  0.181
Cd  0.449  0.181  0.921
Cd  0.181  0.449  0.449
Cd  0.921  0.181  0.449
Cd  0.449  0.449  0.921
Cd  0.449  0.449  0.181
Cd  0.181  0.921  0.449
Cd  0.921  0.449  0.181
Cd  0.449  0.181  0.449
Cd  0.449  0.921  0.449
Cd  0.181  0.449  0.921
Cd  0.637  0.637  0.363
Cd  0.363  0.363  0.637
Cd  0.637  0.363  0.637
Cd  0.363  0.637  0.363
Cd  0.637  0.363  0.363
Cd  0.363  0.637  0.637
Cd  0.613  0.613  0.887
Cd  0.887  0.887  0.613
Cd  0.613  0.887  0.613
Cd  0.887  0.613  0.887
Cd  0.613  0.887  0.887
Cd  0.887  0.613  0.613
Cd  0.125  0.125  0.125
Cd  0.125  0.125  0.625
Cd  0.125  0.625  0.125
Cd  0.625  0.125  0.125
Ni  0.625  0.625  0.625
Ni  0.625  0.625  0.125
Ni  0.625  0.125  0.625
Ni  0.125  0.625  0.625

## Properties
spin magnetization: 0.000 μB per formula unit
volume: 19.73 Å³ per atom
DFT formation energy: -2.4 eV/f.u.

=====

Entry 9:
ZrCdRu: relaxed, GGA-PBEsol.

Lattice parameters (Å, degrees): 3.370 3.370 5.305 108.52 108.52 90.00
Positions (direct):
Cd  0.006  0.006  0.012
Ru  0.681  0.681  0.361
Zr  0.313  0.313  0.627

## Properties
relative energy among the computed polymorphs: 0 meV per atom
spin magnetization: 0.000 μB per formula unit
volume: 17.94 Å³ per atom
DFT formation energy: -0.7 eV/f.u.

=====

Entry 10:
TaRuRh2: relaxed, GGA-PBEsol.

Lattice parameters (Å, degrees): 2.787 4.656 4.724 100.38 107.16 90.00
Positions (direct):
Rh  0.248  0.242  0.496
Rh  0.752  0.758  0.504
Ru  0.500  0.000  0.000
Ta  0.000  0.500  0.000

## Properties
relative energy among the computed polymorphs: 244 meV per atom
spin magnetization: 0.000 μB per formula unit
volume: 14.38 Å³ per atom
DFT formation energy: -0.9 eV/f.u.

=====

Entry 11:
Be2ZnTcGe: relaxed, GGA-PBEsol.

Lattice parameters (Å, degrees): 3.945 3.945 4.622 90.00 90.00 90.00
Each line ends with the local moment (μB).
Positions (direct):
Zn  0.000  0.000  0.000  0.05
Ge  0.000  0.000  0.500  0.01
Tc  0.500  0.500  0.500  1.52
Be  0.000  0.500  0.000  0.01
Be  0.500  0.000  0.000  0.01

## Properties
spin magnetization: 1.721 μB per formula unit
volume: 14.39 Å³ per atom
DFT formation energy: 5.9 eV/f.u.

=====

Entry 12:
CaCo2Au: relaxed, GGA-PBEsol.

Lattice parameters (Å, degrees): 3.959 3.959 4.838 114.15 114.15 90.00
Each line ends with the local moment (μB).
Positions (direct):
Co  0.000  0.000  0.000  1.51
Co  0.750  0.250  0.500  1.56
Ca  0.250  0.750  0.500  -0.06
Au  0.500  0.500  0.000  0.00

## Properties
spin magnetization: 2.869 μB per formula unit
volume: 15.46 Å³ per atom
DFT formation energy: 1.1 eV/f.u.